Record 1
The following is a DFT calculation (PBE) of AgMoPb after structural relaxation.

Cell lengths 5.4677, 5.4677, 5.4677 Å; angles 148.27, 135.60, 55.59 degrees
With the nearest neighbours (Å) after each atom.
Element x y z (fractional)
Mo 0.6550 0.6550 0.0000  4 Ag 2.90, 2 Mo 2.99, 5 Pb 3.08-3.11
Pb 0.3336 0.3336 0.0000  2 Pb 2.99, 5 Ag 3.08-3.12, 5 Mo 3.08-3.11
Ag 0.0114 0.0114 0.0000  4 Mo 2.90, 2 Ag 2.99, 5 Pb 3.08-3.12

Summary:
**VASP energy**: -5.0271 eV per atom
**Space group**: Imm2, No. 44
**Formation energy**: 0.770 eV/atom


Record 2
The following is a DFT calculation (PBE) of Cs2U2TiSe6 after structural relaxation.

Cell lengths 6.9558, 6.9558, 8.9802 Å; angles 97.71, 97.71, 119.56 degrees
With the nearest neighbours (Å) after each atom.
Element x y z (fractional)
U 0.3327 0.6673 0.5000  6 Se 2.85-2.86
Se 0.7465 0.7465 0.6798  1 Ti 2.70, 2 U 2.85
Ti 0.0000 0.0000 0.5000  6 Se 2.70
Cs 0.1693 0.8307 0.0000  6 Se 3.58-3.66, 2 Cs 4.00
Se 0.2535 0.2535 0.3202  1 Ti 2.70, 2 U 2.85
Se 0.9354 0.6216 0.3184  1 Ti 2.70, 2 U 2.86
Se 0.3784 0.0646 0.6816  1 Ti 2.70, 2 U 2.86
U 0.6673 0.3327 0.5000  6 Se 2.85-2.86
Cs 0.8307 0.1693 0.0000  6 Se 3.58-3.66, 2 Cs 4.00
Se 0.0646 0.3784 0.6816  1 Ti 2.70, 2 U 2.86
Se 0.6216 0.9354 0.3184  1 Ti 2.70, 2 U 2.86

Summary:
**Formation energy without anion corrections**: -1.231 eV per atom
**VASP energy**: -6.0566 eV per atom
**Space group**: C2/m, No. 12